a.
{
  "formula": "Ta2SeCl",
  "functional": "PBE-GGA",
  "state": "optimized geometry",
  "lattice_angstrom": [[2.971, 0.000, 0.000], [0.000, 4.336, 0.000], [0.000, 0.000, 5.764]],
  "species": ["Ta", "Ta", "Se", "Cl"],
  "fractional_positions": [[0.000, 0.000, 0.000], [0.500, 0.000, 0.500], [0.000, 0.500, 0.500], [0.500, 0.500, 0.000]]
}



b.
{
  "formula": "Ta2SeCl",
  "functional": "PBE-GGA",
  "state": "optimized geometry",
  "lattice_angstrom": [[4.683, -1.610, 0.000], [4.683, 1.610, 0.000], [-1.837, 0.000, 4.968]],
  "species": ["Ta", "Ta", "Se", "Cl"],
  "fractional_positions": [[0.000, 0.000, 0.000], [0.233, 0.233, 0.657], [0.502, 0.502, 0.609], [0.714, 0.714, 0.259]]
}



c.
{
  "formula": "Ta2SeCl",
  "functional": "PBE-GGA",
  "state": "optimized geometry",
  "lattice_angstrom": [[3.312, 0.000, 0.000], [0.000, 3.312, 0.000], [0.000, 0.000, 6.707]],
  "species": ["Ta", "Ta", "Se", "Cl"],
  "fractional_positions": [[0.000, 0.000, 0.196], [0.000, 0.000, 0.804], [0.500, 0.500, 0.000], [0.500, 0.500, 0.500]]
}



d.
{
  "formula": "Ta2SeCl",
  "functional": "PBE-GGA",
  "state": "optimized geometry",
  "lattice_angstrom": [[3.070, 0.000, 0.000], [0.000, 3.070, 0.000], [0.000, 0.000, 9.189]],
  "species": ["Ta", "Ta", "Se", "Cl"],
  "fractional_positions": [[0.000, 0.000, 0.000], [0.500, 0.500, 0.236], [0.500, 0.500, 0.834], [0.000, 0.000, 0.421]]
}



From most stable to least stable, the computed energies give d, b, a, c.



a.
{
  "formula": "Ta2SeCl",
  "functional": "PBE-GGA",
  "state": "optimized geometry",
  "lattice_angstrom": [[4.257, -1.552, 0.000], [4.257, 1.552, 0.000], [-1.168, 0.000, 5.227]],
  "species": ["Ta", "Ta", "Se", "Cl"],
  "fractional_positions": [[0.248, 0.248, 0.244], [0.752, 0.752, 0.756], [0.500, 0.500, 0.000], [0.000, 0.000, 0.500]]
}



b.
{
  "formula": "Ta2SeCl",
  "functional": "PBE-GGA",
  "state": "optimized geometry",
  "lattice_angstrom": [[0.000, 3.341, 3.341], [3.341, 0.000, 3.341], [3.341, 3.341, 0.000]],
  "species": ["Ta", "Ta", "Se", "Cl"],
  "fractional_positions": [[0.000, 0.000, 0.000], [0.250, 0.250, 0.250], [0.750, 0.750, 0.750], [0.500, 0.500, 0.500]]
}



c.
{
  "formula": "Ta2SeCl",
  "functional": "PBE-GGA",
  "state": "optimized geometry",
  "lattice_angstrom": [[1.548, 0.894, 8.375], [-1.548, 0.894, 8.375], [0.000, -1.787, 8.375]],
  "species": ["Ta", "Ta", "Se", "Cl"],
  "fractional_positions": [[0.247, 0.247, 0.247], [0.753, 0.753, 0.753], [0.500, 0.500, 0.500], [0.000, 0.000, 0.000]]
}



d.
{
  "formula": "Ta2SeCl",
  "functional": "PBE-GGA",
  "state": "optimized geometry",
  "lattice_angstrom": [[-3.481, 3.481, 3.053], [3.481, -3.481, 3.053], [3.481, 3.481, -3.053]],
  "species": ["Ta", "Ta", "Ta", "Ta", "Se", "Se", "Cl", "Cl"],
  "fractional_positions": [[0.095, 0.625, 0.970], [0.375, 0.345, 0.470], [0.655, 0.125, 0.030], [0.875, 0.905, 0.530], [0.250, 0.750, 0.500], [0.500, 0.500, 0.000], [0.000, 0.000, 0.000], [0.750, 0.250, 0.500]]
}



From most stable to least stable, the computed energies give a, c, d, b.



a.
{
  "formula": "Ta2SeCl",
  "functional": "PBE-GGA",
  "state": "optimized geometry",
  "lattice_angstrom": [[3.483, 0.000, 0.000], [0.000, 3.191, 0.000], [-1.623, 0.000, 8.382]],
  "species": ["Ta", "Ta", "Se", "Cl"],
  "fractional_positions": [[0.000, 0.000, 0.000], [0.435, 0.500, 0.801], [0.573, 0.500, 0.149], [0.332, 0.000, 0.572]]
}



b.
{
  "formula": "Ta2SeCl",
  "functional": "PBE-GGA",
  "state": "optimized geometry",
  "lattice_angstrom": [[0.000, 3.198, 3.198], [3.198, 0.000, 3.198], [3.198, 3.198, 0.000]],
  "species": ["Ta", "Ta", "Se", "Cl"],
  "fractional_positions": [[0.250, 0.250, 0.250], [0.750, 0.750, 0.750], [0.000, 0.000, 0.000], [0.500, 0.500, 0.500]]
}



From most stable to least stable, the computed energies give a, b.



a.
{
  "formula": "Ta2SeCl",
  "functional": "PBE-GGA",
  "state": "optimized geometry",
  "lattice_angstrom": [[1.496, -2.879, 0.000], [1.496, 2.879, 0.000], [0.000, 0.000, 8.658]],
  "species": ["Ta", "Ta", "Se", "Cl"],
  "fractional_positions": [[0.000, 0.000, 0.243], [0.000, 0.000, 0.757], [0.500, 0.500, 0.000], [0.500, 0.500, 0.500]]
}



b.
{
  "formula": "Ta2SeCl",
  "functional": "PBE-GGA",
  "state": "optimized geometry",
  "lattice_angstrom": [[-1.835, 1.835, 5.227], [1.835, -1.835, 5.227], [1.835, 1.835, -5.227]],
  "species": ["Ta", "Ta", "Se", "Cl"],
  "fractional_positions": [[0.000, 0.000, 0.000], [0.750, 0.250, 0.500], [0.500, 0.500, 0.000], [0.250, 0.750, 0.500]]
}



c.
{
  "formula": "Ta2SeCl",
  "functional": "PBE-GGA",
  "state": "optimized geometry",
  "lattice_angstrom": [[3.074, 0.000, 0.000], [0.000, 4.283, 0.000], [-0.874, 0.000, 5.616]],
  "species": ["Ta", "Ta", "Se", "Cl"],
  "fractional_positions": [[0.247, 0.000, 0.254], [0.753, 0.000, 0.746], [0.500, 0.500, 0.500], [0.000, 0.500, 0.000]]
}



From most stable to least stable, the computed energies give c, a, b.



a.
{
  "formula": "TaSeCl2",
  "functional": "PBE-GGA",
  "state": "optimized geometry",
  "lattice_angstrom": [[2.487, -6.904, 0.000], [2.487, 6.904, 0.000], [0.000, 0.000, 3.355]],
  "species": ["Ta", "Se", "Cl", "Cl"],
  "fractional_positions": [[0.000, 0.000, 0.000], [0.500, 0.500, 0.000], [0.133, 0.867, 0.500], [0.867, 0.133, 0.500]]
}



b.
{
  "formula": "TaSeCl2",
  "functional": "PBE-GGA",
  "state": "optimized geometry",
  "lattice_angstrom": [[-1.549, 2.299, 7.360], [1.549, -2.299, 7.360], [1.549, 2.299, -7.360]],
  "species": ["Ta", "Se", "Cl", "Cl"],
  "fractional_positions": [[0.000, 0.000, 0.000], [0.500, 0.500, 0.000], [0.138, 0.638, 0.500], [0.862, 0.362, 0.500]]
}



From most stable to least stable, the computed energies give a, b.



a.
{
  "formula": "TaSeCl2",
  "functional": "PBE-GGA",
  "state": "optimized geometry",
  "lattice_angstrom": [[6.776, 0.000, 0.000], [0.000, 3.274, 0.000], [-3.153, 0.000, 6.241]],
  "species": ["Ta", "Se", "Cl", "Cl"],
  "fractional_positions": [[0.000, 0.000, 0.000], [0.968, 0.500, 0.255], [0.251, 0.500, 0.952], [0.673, 0.000, 0.700]]
}



b.
{
  "formula": "TaSeCl2",
  "functional": "PBE-GGA",
  "state": "optimized geometry",
  "lattice_angstrom": [[0.000, 3.306, 3.306], [3.306, 0.000, 3.306], [3.306, 3.306, 0.000]],
  "species": ["Ta", "Se", "Cl", "Cl"],
  "fractional_positions": [[0.000, 0.000, 0.000], [0.750, 0.750, 0.750], [0.250, 0.250, 0.250], [0.500, 0.500, 0.500]]
}



From most stable to least stable, the computed energies give a, b.



a.
{
  "formula": "Tc2SeCl",
  "functional": "PBE-GGA",
  "state": "optimized geometry",
  "lattice_angstrom": [[1.502, 0.867, 9.743], [-1.502, 0.867, 9.743], [0.000, -1.734, 9.743]],
  "species": ["Tc", "Tc", "Se", "Cl"],
  "fractional_positions": [[0.000, 0.000, 0.000], [0.259, 0.259, 0.259], [0.728, 0.728, 0.728], [0.531, 0.531, 0.531]]
}



b.
{
  "formula": "Tc2SeCl",
  "functional": "PBE-GGA",
  "state": "optimized geometry",
  "lattice_angstrom": [[1.454, -2.597, 0.000], [1.454, 2.597, 0.000], [0.000, 0.000, 9.970]],
  "species": ["Tc", "Tc", "Se", "Cl"],
  "fractional_positions": [[0.000, 0.000, 0.000], [0.500, 0.500, 0.221], [0.500, 0.500, 0.793], [0.000, 0.000, 0.416]]
}



c.
{
  "formula": "Tc2SeCl",
  "functional": "PBE-GGA",
  "state": "optimized geometry",
  "lattice_angstrom": [[-1.481, 2.791, 4.049], [1.481, -2.791, 4.049], [1.481, 2.791, -4.049]],
  "species": ["Tc", "Tc", "Se", "Cl"],
  "fractional_positions": [[0.240, 0.240, 0.000], [0.760, 0.760, 0.000], [0.000, 0.500, 0.500], [0.500, 0.000, 0.500]]
}



From most stable to least stable, the computed energies give a, b, c.



a.
{
  "formula": "Tc2SeCl",
  "functional": "PBE-GGA",
  "state": "optimized geometry",
  "lattice_angstrom": [[1.514, 0.874, 7.783], [-1.514, 0.874, 7.783], [0.000, -1.748, 7.783]],
  "species": ["Tc", "Tc", "Se", "Cl"],
  "fractional_positions": [[0.246, 0.246, 0.246], [0.754, 0.754, 0.754], [0.500, 0.500, 0.500], [0.000, 0.000, 0.000]]
}



b.
{
  "formula": "Tc2SeCl",
  "functional": "PBE-GGA",
  "state": "optimized geometry",
  "lattice_angstrom": [[-1.475, 1.533, 8.769], [1.475, -1.533, 8.769], [1.475, 1.533, -8.769]],
  "species": ["Tc", "Tc", "Se", "Cl"],
  "fractional_positions": [[0.000, 0.000, 0.000], [0.880, 0.380, 0.500], [0.581, 0.581, 0.000], [0.298, 0.798, 0.500]]
}



c.
{
  "formula": "Tc2SeCl",
  "functional": "PBE-GGA",
  "state": "optimized geometry",
  "lattice_angstrom": [[0.000, 3.097, 3.097], [3.097, 0.000, 3.097], [3.097, 3.097, 0.000]],
  "species": ["Tc", "Tc", "Se", "Cl"],
  "fractional_positions": [[0.250, 0.250, 0.250], [0.750, 0.750, 0.750], [0.000, 0.000, 0.000], [0.500, 0.500, 0.500]]
}



d.
{
  "formula": "Tc2SeCl",
  "functional": "PBE-GGA",
  "state": "optimized geometry",
  "lattice_angstrom": [[3.012, 0.000, 0.000], [0.000, 3.866, 0.000], [0.000, 0.000, 6.788]],
  "species": ["Tc", "Tc", "Se", "Cl"],
  "fractional_positions": [[0.000, 0.000, 0.000], [0.500, 0.500, 0.169], [0.500, 0.500, 0.819], [0.000, 0.000, 0.346]]
}



From most stable to least stable, the computed energies give d, b, a, c.



a.
{
  "formula": "Tc2SeCl",
  "functional": "PBE-GGA",
  "state": "optimized geometry",
  "lattice_angstrom": [[2.932, 0.000, 0.000], [0.000, 2.932, 0.000], [0.000, 0.000, 8.768]],
  "species": ["Tc", "Tc", "Se", "Cl"],
  "fractional_positions": [[0.000, 0.000, 0.000], [0.500, 0.500, 0.200], [0.500, 0.500, 0.816], [0.000, 0.000, 0.386]]
}



b.
{
  "formula": "Tc2SeCl",
  "functional": "PBE-GGA",
  "state": "optimized geometry",
  "lattice_angstrom": [[4.379, 0.000, 0.000], [0.000, 4.379, 0.000], [0.000, 0.000, 3.104]],
  "species": ["Tc", "Tc", "Se", "Cl"],
  "fractional_positions": [[0.000, 0.500, 0.000], [0.500, 0.000, 0.000], [0.000, 0.000, 0.500], [0.500, 0.500, 0.500]]
}



From most stable to least stable, the computed energies give a, b.



a.
{
  "formula": "Tc2SeCl",
  "functional": "PBE-GGA",
  "state": "optimized geometry",
  "lattice_angstrom": [[3.339, -1.481, 0.000], [3.339, 1.481, 0.000], [-2.068, 0.000, 8.890]],
  "species": ["Tc", "Tc", "Se", "Cl"],
  "fractional_positions": [[0.000, 0.000, 0.000], [0.714, 0.714, 0.825], [0.424, 0.424, 0.201], [0.217, 0.217, 0.619]]
}



b.
{
  "formula": "Tc2SeCl",
  "functional": "PBE-GGA",
  "state": "optimized geometry",
  "lattice_angstrom": [[-2.216, 2.216, 3.297], [2.216, -2.216, 3.297], [2.216, 2.216, -3.297]],
  "species": ["Tc", "Tc", "Se", "Cl"],
  "fractional_positions": [[0.000, 0.000, 0.000], [0.750, 0.250, 0.500], [0.500, 0.500, 0.000], [0.250, 0.750, 0.500]]
}



From most stable to least stable, the computed energies give a, b.